Record 1
Entry from the Alexandria database: a relaxed structure of Li2CrRe (GGA-PBE).

```
data_Li2CrRe
_chemical_formula_sum 'Li6 Cr3 Re3'
_cell_length_a 2.6293
_cell_length_b 2.6293
_cell_length_c 28.6939
_cell_angle_alpha 90.00
_cell_angle_beta 90.00
_cell_angle_gamma 120.00
_space_group_name_H-M_alt 'R -3 m'
_space_group_IT_number 166
_space_group_name_Hall '-R 3 2"'
loop_
_atom_site_label
_atom_site_fract_x
_atom_site_fract_y
_atom_site_fract_z
Li1 0.0000 0.0000 0.2504
Cr1 0.0000 0.0000 0.5000
Re1 0.0000 0.0000 0.0000
```

Summary:
Energy of formation from the pure elements ... 201 kJ/mol of formula units


Record 2
Entry from the Alexandria database: a relaxed structure of KGa (GGA-PBE).

```
data_KGa
_chemical_formula_sum 'K8 Ga8'
_cell_length_a 6.6012
_cell_length_b 6.7195
_cell_length_c 12.7734
_cell_angle_alpha 90.00
_cell_angle_beta 90.00
_cell_angle_gamma 90.00
_space_group_name_H-M_alt 'P 21 21 21'
_space_group_IT_number 19
_space_group_name_Hall 'P 2ac 2ab'
loop_
_atom_site_label
_atom_site_fract_x
_atom_site_fract_y
_atom_site_fract_z
K1 0.0981 0.0720 0.4859
K2 0.0976 0.6376 0.6667
Ga1 0.0893 0.8254 0.2317
Ga2 0.1043 0.5720 0.3773
```

Summary:
Energy of formation from the pure elements ... -9 kJ/mol of formula units


Record 3
Entry from the Alexandria database: a relaxed structure of PrTm3Tc (GGA-PBE).

```
data_PrTm3Tc
_chemical_formula_sum 'Pr1 Tm3 Tc1'
_cell_length_a 5.3521
_cell_length_b 5.3521
_cell_length_c 5.3521
_cell_angle_alpha 90.00
_cell_angle_beta 90.00
_cell_angle_gamma 90.00
_space_group_name_H-M_alt 'P m -3 m'
_space_group_IT_number 221
_space_group_name_Hall '-P 4 2 3'
loop_
_atom_site_label
_atom_site_fract_x
_atom_site_fract_y
_atom_site_fract_z
Pr1 0.0000 0.0000 0.0000
Tm1 0.0000 0.5000 0.5000
Tc1 0.5000 0.5000 0.5000
```

Summary:
Energy of formation from the pure elements ... 41 kJ/mol of formula units


Record 4
Entry from the Alexandria database: a relaxed structure of Ta2TeRh (GGA-PBE).

```
data_Ta2TeRh
_chemical_formula_sum 'Ta4 Te2 Rh2'
_cell_length_a 9.5850
_cell_length_b 3.2693
_cell_length_c 4.9245
_cell_angle_alpha 90.00
_cell_angle_beta 109.15
_cell_angle_gamma 90.00
_space_group_name_H-M_alt 'C 1 m 1'
_space_group_IT_number 8
_space_group_name_Hall 'C -2y'
loop_
_atom_site_label
_atom_site_fract_x
_atom_site_fract_y
_atom_site_fract_z
Ta1 0.0000 0.0000 0.0000
Ta2 0.2271 0.0000 0.6757
Te1 0.4730 0.0000 0.4820
Rh1 0.2299 0.5000 0.1491
```

Summary:
Uncorrected formation energy ... -0.06 eV per formula unit


Record 5
Entry from the Alexandria database: a relaxed structure of Ac2HoZn3Ga4 (GGA-PBE).

```
data_Ac2HoZn3Ga4
_chemical_formula_sum 'Ac2 Ho1 Zn3 Ga4'
_cell_length_a 4.5050
_cell_length_b 4.5050
_cell_length_c 11.3790
_cell_angle_alpha 90.00
_cell_angle_beta 90.00
_cell_angle_gamma 90.00
_space_group_name_H-M_alt 'P -4 m 2'
_space_group_IT_number 115
_space_group_name_Hall 'P -4 -2'
loop_
_atom_site_label
_atom_site_fract_x
_atom_site_fract_y
_atom_site_fract_z
Ac1 0.0000 0.5000 0.2318
Ho1 0.0000 0.0000 0.5000
Zn1 0.0000 0.5000 0.8788
Zn2 0.5000 0.5000 0.5000
Ga1 0.0000 0.0000 0.0000
Ga2 0.0000 0.5000 0.6548
Ga3 0.5000 0.5000 0.0000
```

Summary:
Energy of formation from the pure elements ... -433 kJ/mol of formula units


Record 6
Entry from the Alexandria database: a relaxed structure of ZrFeSb (GGA-PBE).

```
data_ZrFeSb
_chemical_formula_sum 'Zr4 Fe4 Sb4'
_cell_length_a 6.1668
_cell_length_b 6.1668
_cell_length_c 6.1668
_cell_angle_alpha 90.00
_cell_angle_beta 90.00
_cell_angle_gamma 90.00
_space_group_name_H-M_alt 'F -4 3 m'
_space_group_IT_number 216
_space_group_name_Hall 'F -4 2 3'
loop_
_atom_site_label
_atom_site_fract_x
_atom_site_fract_y
_atom_site_fract_z
Zr1 0.0000 0.0000 0.0000
Fe1 0.2500 0.2500 0.2500
Sb1 0.0000 0.0000 0.5000
```

Summary:
Uncorrected formation energy ... -1.31 eV per formula unit


Record 7
Entry from the Alexandria database: a relaxed structure of LaMgMo3 (GGA-PBE).

```
data_LaMgMo3
_chemical_formula_sum 'La1 Mg1 Mo3'
_cell_length_a 4.8054
_cell_length_b 4.8054
_cell_length_c 4.8054
_cell_angle_alpha 90.00
_cell_angle_beta 90.00
_cell_angle_gamma 90.00
_space_group_name_H-M_alt 'P m -3 m'
_space_group_IT_number 221
_space_group_name_Hall '-P 4 2 3'
loop_
_atom_site_label
_atom_site_fract_x
_atom_site_fract_y
_atom_site_fract_z
La1 0.0000 0.0000 0.0000
Mg1 0.5000 0.5000 0.5000
Mo1 0.0000 0.5000 0.5000
```

Summary:
Energy of formation from the pure elements ... 837 kJ/mol of formula units


Record 8
Entry from the Alexandria database: a relaxed structure of MgVB2 (GGA-PBE).

```
data_MgVB2
_chemical_formula_sum 'Mg4 V4 B8'
_cell_length_a 5.8592
_cell_length_b 5.8592
_cell_length_c 5.5370
_cell_angle_alpha 90.00
_cell_angle_beta 90.00
_cell_angle_gamma 90.00
_space_group_name_H-M_alt 'I -4 2 d'
_space_group_IT_number 122
_space_group_name_Hall 'I -4 2bw'
loop_
_atom_site_label
_atom_site_fract_x
_atom_site_fract_y
_atom_site_fract_z
Mg1 0.0000 0.0000 0.0000
V1 0.0000 0.0000 0.5000
B1 0.2253 0.2500 0.6250
```

Summary:
Energy of formation from the pure elements ... 270 kJ/mol of formula units